Entry 1:
LiBe5Rh6 | GGA-PBE | relaxed

Computed properties:
The formation enthalpy at 0 K is -495 meV/atom. The space-group type is No. 71.

Cell and atoms, written as POSCAR:
```
LiBe5Rh6
1.0
-0.773 -3.360 -1.960
0.652 -2.915 4.741
-5.730 3.776 -0.202
Be Rh Li
5 6 1
Direct
0.667 0.667 0.334 Be
0.000 0.500 0.000 Be
0.664 0.164 0.328 Be
0.333 0.333 0.666 Be
0.336 0.836 0.672 Be
0.500 0.257 0.000 Rh
0.169 0.916 0.339 Rh
0.830 0.577 0.661 Rh
0.500 0.743 0.000 Rh
0.831 0.084 0.661 Rh
0.170 0.423 0.339 Rh
0.000 0.000 0.000 Li
```

=====

Entry 2:
HoMg3 | GGA-PBE | relaxed

Computed properties:
The formation enthalpy at 0 K is -67 meV/atom. The space-group type is No. 139.

Cell and atoms, written as POSCAR:
```
HoMg3
1.0
5.148 0.000 0.000
0.000 5.148 0.000
-2.574 -2.574 3.678
Mg Ho
3 1
Direct
0.500 0.500 0.000 Mg
0.250 0.750 0.500 Mg
0.750 0.250 0.500 Mg
0.000 0.000 0.000 Ho
```

=====

Entry 3:
Tb2GaHPd6 | GGA-PBE | relaxed

Computed properties:
Its final energy is -5.407 eV/atom. The space-group type is No. 2.

Cell and atoms, written as POSCAR:
```
Tb2GaHPd6
1.0
5.693 0.025 0.013
-0.017 6.802 0.758
2.836 3.969 4.804
Pd Tb Ga H
6 2 1 1
Direct
0.270 0.230 0.460 Pd
0.731 0.272 0.037 Pd
0.766 0.729 0.964 Pd
0.234 0.271 0.036 Pd
0.730 0.770 0.540 Pd
0.269 0.728 0.963 Pd
0.724 0.274 0.551 Tb
0.276 0.726 0.449 Tb
0.000 0.000 0.000 Ga
0.500 0.500 0.000 H
```

=====

Entry 4:
SmDyH | GGA-PBE | relaxed

Computed properties:
The distance to the lowest polymorph of the same formula is 0.1 kJ per mole of atoms. The space-group type is No. 8.

Cell and atoms, written as POSCAR:
```
SmDyH
1.0
8.517 1.411 1.886
1.583 8.720 -0.685
1.583 -3.119 8.171
Sm Dy H
8 8 8
Direct
0.222 0.416 0.416 Sm
0.718 0.210 0.210 Sm
0.461 0.485 0.724 Sm
0.491 0.211 0.936 Sm
0.229 0.700 0.212 Sm
0.229 0.212 0.700 Sm
0.491 0.936 0.211 Sm
0.461 0.724 0.485 Sm
0.965 0.199 0.480 Dy
0.743 0.703 0.703 Dy
0.965 0.480 0.199 Dy
0.982 0.721 0.961 Dy
0.733 0.455 0.952 Dy
0.982 0.961 0.721 Dy
0.733 0.952 0.455 Dy
0.219 0.992 0.992 Dy
0.726 0.711 0.466 H
0.221 0.261 0.122 H
0.216 0.751 0.751 H
0.221 0.122 0.261 H
0.726 0.466 0.711 H
0.753 0.707 0.186 H
0.759 0.940 0.940 H
0.753 0.186 0.707 H
```

=====

Entry 5:
LaCoRh2 | GGA-PBE | relaxed

Computed properties:
The distance to the lowest polymorph of the same formula is 20.8 kJ per mole of atoms. The formation enthalpy at 0 K is -39 meV/atom. The space-group type is No. 6.

Cell and atoms, written as POSCAR:
```
LaCoRh2
1.0
-2.749 -1.305 -3.123
2.445 -0.893 -1.780
0.608 -5.083 1.589
Rh Co La
2 1 1
Direct
0.000 0.138 0.999 Rh
0.500 0.146 0.317 Rh
0.000 0.515 0.389 Co
0.500 0.701 0.795 La
```

=====

Entry 6:
Sm9Dy2Er | GGA-PBE | relaxed

Computed properties:
The formation enthalpy at 0 K is 18 meV/atom. The space-group type is No. 123.

Cell and atoms, written as POSCAR:
```
Sm9Dy2Er
1.0
5.094 0.000 0.000
0.000 5.094 0.000
0.000 0.000 15.277
Sm Dy Er
9 2 1
Direct
0.500 0.500 0.667 Sm
0.500 0.500 0.000 Sm
0.500 0.000 0.834 Sm
0.000 0.500 0.500 Sm
0.000 0.500 0.166 Sm
0.000 0.500 0.834 Sm
0.500 0.500 0.333 Sm
0.500 0.000 0.166 Sm
0.500 0.000 0.500 Sm
0.000 0.000 0.667 Dy
0.000 0.000 0.333 Dy
0.000 0.000 0.000 Er
```

=====

Entry 7:
Sc2GeAs2 | GGA-PBE | relaxed

Computed properties:
The distance to the lowest polymorph of the same formula is 5.8 kJ per mole of atoms. The formation enthalpy at 0 K is -713 meV/atom. The space-group type is No. 127.

Cell and atoms, written as POSCAR:
```
Sc2GeAs2
1.0
-4.833 -2.734 4.801
-3.557 -3.341 -5.483
2.131 -2.992 0.441
As Sc Ge
4 4 2
Direct
0.842 0.342 0.500 As
0.342 0.158 0.500 As
0.158 0.658 0.500 As
0.658 0.842 0.500 As
0.346 0.846 0.000 Sc
0.846 0.654 0.000 Sc
0.154 0.346 0.000 Sc
0.654 0.154 0.000 Sc
0.500 0.500 0.000 Ge
0.000 0.000 0.000 Ge
```

=====

Entry 8:
La4TlPt | GGA-PBE | relaxed

Computed properties:
The distance to the lowest polymorph of the same formula is 0.0 kJ per mole of atoms. The formation enthalpy at 0 K is -579 meV/atom. The space-group type is No. 216.

Cell and atoms, written as POSCAR:
```
La4TlPt
1.0
8.863 0.000 5.117
2.954 8.356 5.117
0.000 0.000 10.234
La Pt Tl
16 4 4
Direct
0.812 0.812 0.188 La
0.400 0.400 0.799 La
0.799 0.400 0.400 La
0.944 0.556 0.944 La
0.556 0.556 0.944 La
0.400 0.400 0.400 La
0.944 0.556 0.556 La
0.400 0.799 0.400 La
0.812 0.188 0.188 La
0.188 0.812 0.188 La
0.812 0.188 0.812 La
0.188 0.812 0.812 La
0.188 0.188 0.812 La
0.556 0.944 0.944 La
0.944 0.944 0.556 La
0.556 0.944 0.556 La
0.178 0.607 0.607 Pt
0.607 0.178 0.607 Pt
0.607 0.607 0.607 Pt
0.607 0.607 0.178 Pt
0.500 0.167 0.167 Tl
0.167 0.167 0.167 Tl
0.167 0.167 0.500 Tl
0.167 0.500 0.167 Tl
```

=====

no.,DOS(E_F) (states/eV/atom),size of the total moment (μB/cell)
1,0.91,0.000
2,0.55,0.000
3,0.41,0.000
4,0.95,0.000
5,1.11,2.305
6,1.59,0.000
7,0.65,0.000
8,1.35,0.000